The following is a DFT calculation (PBE) of an optimized crystal structure of Ac2Cd12Hg7.

Cell: 11.5655 11.5655 4.6001 Å, 90.00 90.00 120.00°
Sites, in units of the cell vectors:
Ac (0.0000, 0.0000, 0.0000)
Ac (0.3333, 0.6667, 0.5000)
Cd (0.0497, 0.7464, 0.5000)
Cd (0.1111, 0.3665, 0.0000)
Cd (0.2536, 0.3033, 0.5000)
Cd (0.2554, 0.8889, 0.0000)
Cd (0.3809, 0.2112, 0.0000)
Cd (0.5320, 0.1121, 0.5000)
Cd (0.5801, 0.4680, 0.5000)
Cd (0.6335, 0.7446, 0.0000)
Cd (0.6967, 0.9503, 0.5000)
Cd (0.7888, 0.1697, 0.0000)
Cd (0.8303, 0.6191, 0.0000)
Cd (0.8879, 0.4199, 0.5000)
Hg (0.0798, 0.5942, 0.0000)
Hg (0.2348, 0.0385, 0.5000)
Hg (0.4058, 0.4856, 0.0000)
Hg (0.5144, 0.9202, 0.0000)
Hg (0.6667, 0.3333, 0.0000)
Hg (0.8036, 0.7652, 0.5000)
Hg (0.9615, 0.1964, 0.5000)

* SG: P-6 (174)
* magnetic moment: 0.00 μB per formula unit


The following is a DFT calculation (PBE) of an optimized crystal structure of AcCd4Hg2.

Cell: 8.7483 8.7483 4.7362 Å, 90.00 90.00 90.00°
Sites, in units of the cell vectors:
Ac (0.0000, 0.0000, 0.0000)
Ac (0.5000, 0.5000, 0.5000)
Cd (0.0967, 0.3499, 0.5000)
Cd (0.1501, 0.5967, 0.0000)
Cd (0.3499, 0.0967, 0.5000)
Cd (0.4033, 0.8499, 0.0000)
Cd (0.5967, 0.1501, 0.0000)
Cd (0.6501, 0.9033, 0.5000)
Cd (0.8499, 0.4033, 0.0000)
Cd (0.9033, 0.6501, 0.5000)
Hg (0.1970, 0.8030, 0.5000)
Hg (0.3030, 0.3030, 0.0000)
Hg (0.6970, 0.6970, 0.0000)
Hg (0.8030, 0.1970, 0.5000)

* SG: P4_2/mnm (136)
* magnetic moment: 0.00 μB per formula unit


The following is a DFT calculation (PBE) of an optimized crystal structure of AcCd6Hg12.

Cell: 8.8444 8.8444 8.8444 Å, 111.59 111.59 111.59°
Sites, in units of the cell vectors:
Ac (0.0000, 0.0000, 0.0000)
Cd (0.0392, 0.3445, 0.5540)
Cd (0.3445, 0.5540, 0.0392)
Cd (0.4460, 0.9608, 0.6555)
Cd (0.5540, 0.0392, 0.3445)
Cd (0.6555, 0.4460, 0.9608)
Cd (0.9608, 0.6555, 0.4460)
Hg (0.1105, 0.7410, 0.1856)
Hg (0.1856, 0.1105, 0.7410)
Hg (0.2130, 0.4922, 0.3311)
Hg (0.2590, 0.8144, 0.8895)
Hg (0.3311, 0.2130, 0.4922)
Hg (0.4922, 0.3311, 0.2130)
Hg (0.5078, 0.6689, 0.7870)
Hg (0.6689, 0.7870, 0.5078)
Hg (0.7410, 0.1856, 0.1105)
Hg (0.7870, 0.5078, 0.6689)
Hg (0.8144, 0.8895, 0.2590)
Hg (0.8895, 0.2590, 0.8144)

* SG: R-3 (148)
* magnetic moment: 0.00 μB per formula unit


| no. | energy (eV/cell) | energy of formation (eV/atom) |
| --- | --- | --- |
| 1 | -24.44 | -0.15 |
| 2 | -19.62 | -0.21 |
| 3 | -14.54 | -0.07 |